TbPu2Tl after structural relaxation, computed with PBE.

Output
Polymorph energy (0 for the lowest one) in meV/atom: 235
Total energy in eV/cell: -139.6
Energy relative to the elements in meV per atom: 192.6

Cell lengths 7.6643, 7.6643, 7.6643 Å; angles 90.00, 90.00, 90.00 degrees
Closest atoms and distances in Å follow each position.
Space group Fm-3m (No. 225)
Asymmetric unit:
Tb1 0.0000 0.0000 0.0000 (multiplicity 4)  8 Pu 3.32
Pu1 0.2500 0.2500 0.2500 (multiplicity 8)  4 Tl 3.32, 4 Tb 3.32
Tl1 0.0000 0.0000 0.5000 (multiplicity 4)  8 Pu 3.32

---

KNa2H6Ir after structural relaxation, computed with PBE.

Output
Total energy in eV/cell: -36.4

Cell lengths 5.2621, 5.2621, 6.5796 Å; angles 90.00, 90.00, 120.00 degrees
Closest atoms and distances in Å follow each position.
Space group P-3m1 (No. 164)
Asymmetric unit:
K1 0.0000 0.0000 0.0000 (multiplicity 1)  6 H 2.65
Na1 0.3333 0.6667 0.4206 (multiplicity 2)  3 H 2.28
H1 0.1484 0.2967 0.6541 (multiplicity 6)  1 Ir 1.69
Ir1 0.0000 0.0000 0.5000 (multiplicity 1)  6 H 1.69

---

RbCa2Pr after structural relaxation, computed with PBE.

Output
Total energy in eV/cell: -9.1
Energy relative to the elements in meV per atom: 162.8

Cell lengths 3.9339, 3.9339, 12.3680 Å; angles 90.00, 90.00, 90.00 degrees
Closest atoms and distances in Å follow each position.
Space group P4/mmm (No. 123)
Asymmetric unit:
Rb1 0.0000 0.0000 0.0000 (multiplicity 1)  4 Rb 3.93
Ca1 0.5000 0.5000 0.2940 (multiplicity 2)  4 Pr 3.77, 4 Ca 3.93
Pr1 0.0000 0.0000 0.5000 (multiplicity 1)  8 Ca 3.77, 4 Pr 3.93

---

LiSc3Ta2N6 after structural relaxation, computed with PBE.

Output
Total energy in eV/cell: -225.6
Uncorrected formation energy in meV/atom: -1521

Cell lengths 13.6102, 3.1274, 6.3090 Å; angles 90.00, 103.18, 90.00 degrees
Closest atoms and distances in Å follow each position.
Space group C2/m (No. 12)
Asymmetric unit:
Li1 0.0000 0.0000 0.0000 (multiplicity 2)  6 N 2.24-2.25
Sc1 0.0000 0.0000 0.5000 (multiplicity 2)  6 N 2.20-2.23
Sc2 0.1603 0.5000 0.8390 (multiplicity 4)  6 N 2.23-2.29
Ta1 0.1587 0.5000 0.3244 (multiplicity 4)  5 N 2.00-2.22
N1 0.0082 0.5000 0.2603 (multiplicity 4)  1 Ta 2.00, 2 Sc 2.20
N2 0.1691 0.0000 0.0948 (multiplicity 4)  2 Ta 2.16, 3 Sc 2.23-2.26, 1 Li 2.24
N3 0.1685 0.0000 0.5782 (multiplicity 4)  3 Ta 2.22-2.29, 3 Sc 2.23-2.29

---

CoMo3 after structural relaxation, computed with PBE.

Output
Total energy in eV/cell: -39.0
Energy relative to the elements in meV per atom: 145.3

Cell lengths 2.6499, 4.3533, 5.1993 Å; angles 90.00, 100.13, 90.00 degrees
Closest atoms and distances in Å follow each position.
Space group P2/m (No. 10)
Asymmetric unit:
Co1 0.0000 0.0000 0.0000 (multiplicity 1)  2 Co 2.65, 6 Mo 2.68-2.70
Mo1 0.2700 0.5000 0.7569 (multiplicity 2)  6 Mo 2.61-2.80, 2 Co 2.68
Mo2 0.5000 0.0000 0.5000 (multiplicity 1)  6 Mo 2.65-2.68, 2 Co 2.70

---

Zn16Pd7Au6 after structural relaxation, computed with PBE.

Output
Total energy in eV/cell: -342.7
Energy relative to the elements in meV per atom: -319.6

Cell lengths 12.3508, 12.3508, 12.3508 Å; angles 90.00, 90.00, 90.00 degrees
Closest atoms and distances in Å follow each position.
Space group Fm-3m (No. 225)
Asymmetric unit:
Zn1 0.1309 0.1309 0.1309 (multiplicity 32)  4 Pd 2.63-2.80, 3 Au 2.72, 3 Zn 2.94
Zn2 0.1306 0.1306 0.3694 (multiplicity 32)  3 Pd 2.64, 3 Au 2.72, 3 Zn 2.94
Pd1 0.0000 0.0000 0.0000 (multiplicity 4)  8 Zn 2.80, 6 Au 3.08
Pd2 0.0000 0.2500 0.2500 (multiplicity 24)  8 Zn 2.63-2.64
Au1 0.0000 0.0000 0.2495 (multiplicity 24)  8 Zn 2.72

---

Number 1: volume 450.21 Å³/cell, total magnetization 12.9 μB/f.u.. Number 2: volume 157.78 Å³/cell, total magnetization 0.1 μB/f.u.. Number 3: volume 191.41 Å³/cell, total magnetization 0.0 μB/f.u.. Number 4: volume 261.46 Å³/cell, total magnetization 0.0 μB/f.u.. Number 5: volume 59.04 Å³/cell, total magnetization 1.4 μB/f.u.. Number 6: volume 1884.00 Å³/cell, total magnetization 0.0 μB/f.u..